(1)
The following is a PBE-GGA calculation of an optimized crystal structure of TbSm2Cd4, from Alexandria.

abc: 5.3556 5.3556 8.0151
angles: 109.52 109.52 90.00
Closest atoms and distances in Å follow each position.
Fractional coordinates of all 7 atoms:
Cd: 0.8879 0.3879 0.7757  2 Tb 3.11, 1 Cd 3.17, 4 Sm 3.23-3.39
Cd: 0.6121 0.1121 0.2243  2 Tb 3.11, 1 Cd 3.17, 4 Sm 3.23-3.39
Tb: 0.0000 0.0000 0.0000  8 Cd 3.11
Cd: 0.1121 0.6121 0.2243  2 Tb 3.11, 1 Cd 3.17, 4 Sm 3.23-3.39
Sm: 0.2596 0.2596 0.5193  8 Cd 3.23-3.39
Cd: 0.3879 0.8879 0.7757  2 Tb 3.11, 1 Cd 3.17, 4 Sm 3.23-3.39
Sm: 0.7404 0.7404 0.4807  8 Cd 3.23-3.39

Summary:
- ΔH_f (0 K): -3.8 kcal/mol of atoms
- M_tot: 0.41 μB/f.u.

***

(2)
The following is a PBE-GGA calculation of an optimized crystal structure of Tb3Sm3Cd, from Alexandria.

abc: 5.5865 9.4883 9.4893
angles: 120.03 90.00 90.00
Closest atoms and distances in Å follow each position.
Fractional coordinates of all 14 atoms:
Tb: 0.2500 0.8202 0.0603  6 Tb 3.47-3.56, 5 Sm 3.47-3.74, 1 Cd 3.55
Cd: 0.7500 0.3333 0.6667  9 Sm 3.43-3.69, 3 Tb 3.55
Tb: 0.7500 0.1798 0.9397  6 Tb 3.47-3.56, 5 Sm 3.47-3.74, 1 Cd 3.55
Sm: 0.2500 0.1069 0.4765  3 Cd 3.43-3.69, 4 Sm 3.46-3.61, 5 Tb 3.47-3.74
Cd: 0.2500 0.6667 0.3333  9 Sm 3.43-3.69, 3 Tb 3.55
Tb: 0.2500 0.9394 0.7596  6 Tb 3.47-3.56, 5 Sm 3.47-3.74, 1 Cd 3.55
Sm: 0.2500 0.3694 0.8929  3 Cd 3.43-3.69, 4 Sm 3.46-3.61, 5 Tb 3.47-3.74
Tb: 0.7500 0.0606 0.2404  6 Tb 3.47-3.56, 5 Sm 3.47-3.74, 1 Cd 3.55
Tb: 0.7500 0.7596 0.8200  6 Tb 3.47-3.56, 5 Sm 3.47-3.74, 1 Cd 3.55
Sm: 0.7500 0.8931 0.5235  3 Cd 3.43-3.69, 4 Sm 3.46-3.61, 5 Tb 3.47-3.74
Sm: 0.2500 0.5233 0.6305  3 Cd 3.43-3.69, 4 Sm 3.46-3.61, 5 Tb 3.47-3.74
Sm: 0.7500 0.6306 0.1071  3 Cd 3.43-3.69, 4 Sm 3.46-3.61, 5 Tb 3.47-3.74
Tb: 0.2500 0.2404 0.1800  6 Tb 3.47-3.56, 5 Sm 3.47-3.74, 1 Cd 3.55
Sm: 0.7500 0.4767 0.3695  3 Cd 3.43-3.69, 4 Sm 3.46-3.61, 5 Tb 3.47-3.74

Summary:
- ΔH_f (0 K): -0.8 kcal/mol of atoms
- M_tot: 0.00 μB/f.u.

***

(3)
The following is a PBE-GGA calculation of an optimized crystal structure of Tb12Sm6Cd, from Alexandria.

abc: 8.5139 8.5139 8.5139
angles: 88.96 88.96 88.96
Closest atoms and distances in Å follow each position.
Fractional coordinates of all 19 atoms:
Tb: 0.0159 0.1817 0.3617  4 Sm 3.43-3.68, 1 Cd 3.48, 4 Tb 3.48-3.66
Tb: 0.5647 0.2197 0.4627  6 Tb 3.30-3.66, 3 Sm 3.34-3.44
Sm: 0.2955 0.7381 0.9049  7 Tb 3.34-3.68, 1 Cd 3.43, 2 Sm 3.47
Sm: 0.0951 0.7045 0.2619  7 Tb 3.34-3.68, 1 Cd 3.43, 2 Sm 3.47
Tb: 0.4353 0.7803 0.5373  6 Tb 3.30-3.66, 3 Sm 3.34-3.44
Sm: 0.7045 0.2619 0.0951  7 Tb 3.34-3.68, 1 Cd 3.43, 2 Sm 3.47
Tb: 0.3617 0.0159 0.1817  4 Sm 3.43-3.68, 1 Cd 3.48, 4 Tb 3.48-3.66
Tb: 0.1817 0.3617 0.0159  4 Sm 3.43-3.68, 1 Cd 3.48, 4 Tb 3.48-3.66
Tb: 0.9841 0.8183 0.6383  4 Sm 3.43-3.68, 1 Cd 3.48, 4 Tb 3.48-3.66
Tb: 0.8183 0.6383 0.9841  4 Sm 3.43-3.68, 1 Cd 3.48, 4 Tb 3.48-3.66
Sm: 0.2619 0.0951 0.7045  7 Tb 3.34-3.68, 1 Cd 3.43, 2 Sm 3.47
Tb: 0.2197 0.4627 0.5647  6 Tb 3.30-3.66, 3 Sm 3.34-3.44
Cd: 0.0000 0.0000 0.0000  6 Sm 3.43, 6 Tb 3.48
Tb: 0.7803 0.5373 0.4353  6 Tb 3.30-3.66, 3 Sm 3.34-3.44
Tb: 0.6383 0.9841 0.8183  4 Sm 3.43-3.68, 1 Cd 3.48, 4 Tb 3.48-3.66
Tb: 0.5373 0.4353 0.7803  6 Tb 3.30-3.66, 3 Sm 3.34-3.44
Sm: 0.7381 0.9049 0.2955  7 Tb 3.34-3.68, 1 Cd 3.43, 2 Sm 3.47
Sm: 0.9049 0.2955 0.7381  7 Tb 3.34-3.68, 1 Cd 3.43, 2 Sm 3.47
Tb: 0.4627 0.5647 0.2197  6 Tb 3.30-3.66, 3 Sm 3.34-3.44

Summary:
- ΔH_f (0 K): 2.3 kcal/mol of atoms
- M_tot: 0.00 μB/f.u.

***

(4)
The following is a PBE-GGA calculation of an optimized crystal structure of Tb3Sm4Cd, from Alexandria.

abc: 4.1131 4.1131 14.9265
angles: 90.00 90.00 90.00
Closest atoms and distances in Å follow each position.
Fractional coordinates of all 8 atoms:
Tb: 0.5000 0.5000 0.7494  8 Sm 3.46-3.54, 1 Tb 3.72, 1 Cd 3.74
Sm: 0.0000 0.0000 0.1154  4 Cd 3.38, 1 Sm 3.44, 4 Tb 3.54
Tb: 0.5000 0.5000 0.2506  8 Sm 3.46-3.54, 1 Tb 3.72, 1 Cd 3.74
Sm: 0.0000 0.0000 0.3757  8 Tb 3.45-3.46, 1 Sm 3.71
Cd: 0.5000 0.5000 0.0000  8 Sm 3.38, 2 Tb 3.74
Tb: 0.5000 0.5000 0.5000  8 Sm 3.45, 2 Tb 3.72
Sm: 0.0000 0.0000 0.6243  8 Tb 3.45-3.46, 1 Sm 3.71
Sm: 0.0000 0.0000 0.8846  4 Cd 3.38, 1 Sm 3.44, 4 Tb 3.54

Summary:
- ΔH_f (0 K): 0.6 kcal/mol of atoms
- M_tot: 0.00 μB/f.u.